## Dy2GaGe2Rh5 (PBE)

Data for a relaxed Dy2GaGe2Rh5 crystal.

E_tot = -6.6334 eV/atom
M_tot = 0.000 μB per atom
energy relative to the elements = -811 meV per atom

Cell: 3.548 9.760 9.760 Å, 90.00 90.00 90.00°
Positions (direct):
Dy1 0.000 0.674 0.174
Dy2 0.000 0.326 0.826
Dy3 0.000 0.174 0.326
Dy4 0.000 0.826 0.674
Ga1 0.000 0.000 0.000
Ga2 0.000 0.500 0.500
Ge1 0.000 0.126 0.626
Ge2 0.000 0.874 0.374
Ge3 0.000 0.626 0.874
Ge4 0.000 0.374 0.126
Rh1 0.500 0.205 0.066
Rh2 0.500 0.795 0.934
Rh3 0.500 0.066 0.795
Rh4 0.500 0.705 0.434
Rh5 0.500 0.934 0.205
Rh6 0.500 0.295 0.566
Rh7 0.500 0.566 0.705
Rh8 0.500 0.434 0.295
Rh9 0.500 0.500 0.000
Rh10 0.500 0.000 0.500